## LiZr2P2 (PBE)

Data for an optimized crystal structure of LiZr2P2.

Output
- Formation enthalpy at 0 K: -703 meV per atom
- Magnetic moment: 0.0 μB per formula unit

POSCAR file:
```
LiZr2P2
1.0
7.339 0.000 0.000
0.000 7.339 0.000
0.000 0.000 3.373
Li Zr P
2 4 4
direct
0.000 0.000 0.000 Li
0.500 0.500 0.000 Li
0.145 0.355 0.000 Zr
0.355 0.855 0.000 Zr
0.645 0.145 0.000 Zr
0.855 0.645 0.000 Zr
0.152 0.652 0.500 P
0.348 0.152 0.500 P
0.652 0.848 0.500 P
0.848 0.348 0.500 P
```